1.
This record from Alexandria describes a relaxed structure of SrYFe2Ag. The functional is PBE.

The energy of formation is 1289.2 meV per atom. Its space-group type is P4/mmm (123).

Cell: 5.052 5.052 5.283 Å, 90.00 90.00 90.00°
Fractional positions:
Sr: 0.000 0.000 0.000
Y: 0.500 0.500 0.000
Fe: 0.000 0.500 0.500
Fe: 0.500 0.000 0.500
Ag: 0.500 0.500 0.500

=====

2.
This record from Alexandria describes a relaxed structure of SrCdRe. The functional is PBE.

The energy of formation is 806.7 meV per atom. Its space-group type is Imm2 (44).

Cell: 6.050 6.050 6.050 Å, 151.89 137.46 51.77°
Fractional positions:
Sr: 0.000 0.000 0.000
Cd: 0.292 0.292 0.000
Re: 0.694 0.694 0.000

=====

3.
This record from Alexandria describes a relaxed structure of TiCrAu3. The functional is PBE.

The energy of formation is 811.9 meV per atom. Its space-group type is Pm-3m (221).

Cell: 4.960 4.960 4.960 Å, 90.00 90.00 90.00°
Fractional positions:
Ti: 0.000 0.000 0.000
Cr: 0.500 0.500 0.500
Au: 0.000 0.000 0.500
Au: 0.000 0.500 0.000
Au: 0.500 0.000 0.000

=====

4.
This record from Alexandria describes a relaxed structure of Zr12TiCd3. The functional is PBE.

The energy of formation is -48.8 meV per atom. Its space-group type is P4/mmm (123).

Cell: 4.459 4.459 17.836 Å, 90.00 90.00 90.00°
Fractional positions:
Zr: 0.000 0.000 0.000
Zr: 0.000 0.000 0.248
Zr: 0.000 0.000 0.500
Zr: 0.000 0.000 0.752
Zr: 0.000 0.500 0.125
Zr: 0.000 0.500 0.379
Zr: 0.000 0.500 0.621
Zr: 0.000 0.500 0.875
Zr: 0.500 0.000 0.125
Zr: 0.500 0.000 0.379
Zr: 0.500 0.000 0.621
Zr: 0.500 0.000 0.875
Ti: 0.500 0.500 0.500
Cd: 0.500 0.500 0.000
Cd: 0.500 0.500 0.251
Cd: 0.500 0.500 0.749

=====

5.
This record from Alexandria describes a relaxed structure of BaLi2Os. The functional is PBE.

The energy of formation is 679.6 meV per atom. Its space-group type is Fm-3m (225).

Cell: 4.841 4.841 4.841 Å, 60.00 60.00 60.00°
Fractional positions:
Ba: 0.000 0.000 0.000
Li: 0.250 0.250 0.250
Li: 0.750 0.750 0.750
Os: 0.500 0.500 0.500

=====

6.
This record from Alexandria describes a relaxed structure of TlBIr2W. The functional is PBE.

The energy of formation is 405.5 meV per atom. Its space-group type is P4/mmm (123).

Cell: 4.179 4.179 4.374 Å, 90.00 90.00 90.00°
Fractional positions:
Tl: 0.000 0.000 0.000
B: 0.500 0.500 0.500
Ir: 0.000 0.500 0.500
Ir: 0.500 0.000 0.500
W: 0.500 0.500 0.000

=====

7.
This record from Alexandria describes a relaxed structure of Mg2CrOs. The functional is PBE.

The energy of formation is 739.8 meV per atom. Its space-group type is Fm-3m (225).

Cell: 4.428 4.428 4.428 Å, 60.00 60.00 60.00°
Fractional positions:
Mg: 0.250 0.250 0.250
Mg: 0.750 0.750 0.750
Cr: 0.000 0.000 0.000
Os: 0.500 0.500 0.500

=====

8.
This record from Alexandria describes a relaxed structure of LiCaDy2Te4. The functional is PBE.

For the formation energy without anion corrections, the calculation gives -1383 meV/atom. Its space-group type is P2/m (10).

Cell: 7.527 4.358 7.679 Å, 90.00 109.06 90.00°
Fractional positions:
Li: 0.000 0.000 0.000
Ca: 0.500 0.500 0.000
Dy: 0.000 0.500 0.500
Dy: 0.500 0.000 0.500
Te: 0.243 0.000 0.749
Te: 0.245 0.500 0.249
Te: 0.755 0.500 0.751
Te: 0.757 0.000 0.251